## BaHO2F (PBE-GGA)

Data for an optimized crystal structure of BaHO2F.

CIF file:
```
data_BaHO2F
_chemical_formula_sum 'Ba1 H1 O2 F1'
_cell_length_a 5.672
_cell_length_b 5.672
_cell_length_c 5.004
_cell_angle_alpha 90.00
_cell_angle_beta 90.00
_cell_angle_gamma 90.00
_symmetry_space_group_name_H-M 'P 4/m m m'
_symmetry_Int_Tables_number 123
_symmetry_space_group_name_Hall '-P 4 2'
loop_
_atom_site_label
_atom_site_fract_x
_atom_site_fract_y
_atom_site_fract_z
_atom_site_occupancy
Ba1 0.000 0.000 0.000 1
H1 0.500 0.500 0.500 1
O1 0.000 0.500 0.000 1
F1 0.000 0.000 0.500 1
```

=====

## BaHO2F (PBE-GGA)

Data for an optimized crystal structure of BaHO2F.

CIF file:
```
data_BaHO2F
_chemical_formula_sum 'Ba1 H1 O2 F1'
_cell_length_a 3.570
_cell_length_b 3.570
_cell_length_c 4.818
_cell_angle_alpha 90.00
_cell_angle_beta 90.00
_cell_angle_gamma 90.00
_symmetry_space_group_name_H-M 'P 4/m m m'
_symmetry_Int_Tables_number 123
_symmetry_space_group_name_Hall '-P 4 2'
loop_
_atom_site_label
_atom_site_fract_x
_atom_site_fract_y
_atom_site_fract_z
_atom_site_occupancy
Ba1 0.000 0.000 0.000 1
H1 0.500 0.500 0.500 1
O1 0.000 0.500 0.500 1
F1 0.500 0.500 0.000 1
```

=====

# BaHOF2 PBE-GGA relaxed
data_BaHOF2
_chemical_formula_sum 'Ba1 H1 O1 F2'
_cell_length_a 5.002
_cell_length_b 5.002
_cell_length_c 5.860
_cell_angle_alpha 90.00
_cell_angle_beta 90.00
_cell_angle_gamma 90.00
_symmetry_space_group_name_H-M 'P 4/m m m'
_symmetry_Int_Tables_number 123
_symmetry_space_group_name_Hall '-P 4 2'
loop_
_atom_site_label
_atom_site_fract_x
_atom_site_fract_y
_atom_site_fract_z
_atom_site_occupancy
Ba1 0.000 0.000 0.000 1
H1 0.500 0.500 0.500 1
O1 0.000 0.000 0.500 1
F1 0.000 0.500 0.000 1
# - E above lowest polymorph: 607 meV/atom

=====

no.,E (eV/f.u.),V (Å³ per atom)
1,-18.77,32.20
2,-22.22,12.28
3,-19.43,29.32